Record 1
# TeRuCI2 PBE-GGA optimized geometry
# Energy above the most stable polymorph in this dataset, eV per formula unit: 0.04
# M_tot, Bohr magnetons per cell: 1.4
# Formation energy (no corrections), eV/atom: 1.7184
# Crystal system: tetragonal
# Energy, eV for the cell shown: -16.1
data_TeRuCI2
_cell_length_a 5.564
_cell_length_b 5.564
_cell_length_c 4.969
_cell_angle_alpha 90.00
_cell_angle_beta 90.00
_cell_angle_gamma 90.00
_symmetry_space_group_name_H-M 'P 4/m m m'
_symmetry_Int_Tables_number 123
_symmetry_space_group_name_Hall '-P 4 2'
loop_
_atom_site_label
_atom_site_fract_x
_atom_site_fract_y
_atom_site_fract_z
Te1 0.000 0.000 0.000
Ru1 0.000 0.000 0.500
C1 0.500 0.500 0.000
I1 0.000 0.500 0.500

***

Record 2
# TlRu2CI PBE-GGA optimized geometry
# M_tot, Bohr magnetons per cell: 4.9
# Formation energy (no corrections), eV/atom: 2.7603
# Crystal system: tetragonal
# Energy, eV for the cell shown: -17.9
data_TlRu2CI
_cell_length_a 4.895
_cell_length_b 4.895
_cell_length_c 6.671
_cell_angle_alpha 90.00
_cell_angle_beta 90.00
_cell_angle_gamma 90.00
_symmetry_space_group_name_H-M 'P 4/m m m'
_symmetry_Int_Tables_number 123
_symmetry_space_group_name_Hall '-P 4 2'
loop_
_atom_site_label
_atom_site_fract_x
_atom_site_fract_y
_atom_site_fract_z
Tl1 0.000 0.000 0.000
Ru1 0.000 0.500 0.500
C1 0.500 0.500 0.000
I1 0.000 0.000 0.500

***

Record 3
# TlRuC2I PBE-GGA optimized geometry
# M_tot, Bohr magnetons per cell: 2.4
# Formation energy (no corrections), eV/atom: 3.0948
# Crystal system: tetragonal
# Energy, eV for the cell shown: -16.2
data_TlRuC2I
_cell_length_a 4.202
_cell_length_b 4.202
_cell_length_c 6.407
_cell_angle_alpha 90.00
_cell_angle_beta 90.00
_cell_angle_gamma 90.00
_symmetry_space_group_name_H-M 'P 4/m m m'
_symmetry_Int_Tables_number 123
_symmetry_space_group_name_Hall '-P 4 2'
loop_
_atom_site_label
_atom_site_fract_x
_atom_site_fract_y
_atom_site_fract_z
Tl1 0.000 0.000 0.000
Ru1 0.500 0.500 0.000
C1 0.000 0.500 0.500
I1 0.000 0.000 0.500

***

Record 4
# YRuCI2 PBE-GGA optimized geometry
# M_tot, Bohr magnetons per cell: 3.9
# Formation energy (no corrections), eV/atom: 1.7428
# Crystal system: tetragonal
# Energy, eV for the cell shown: -19.4
data_YRuCI2
_cell_length_a 5.988
_cell_length_b 5.988
_cell_length_c 5.257
_cell_angle_alpha 90.00
_cell_angle_beta 90.00
_cell_angle_gamma 90.00
_symmetry_space_group_name_H-M 'P 4/m m m'
_symmetry_Int_Tables_number 123
_symmetry_space_group_name_Hall '-P 4 2'
loop_
_atom_site_label
_atom_site_fract_x
_atom_site_fract_y
_atom_site_fract_z
Y1 0.000 0.000 0.000
Ru1 0.000 0.000 0.500
C1 0.500 0.500 0.500
I1 0.000 0.500 0.000